(1)
# SiTcH2

Crystalline SiTcH2 at its relaxed geometry (GGA-PBE, Alexandria).

Cell lengths 4.295, 4.295, 7.857 Å; angles 90.00, 90.00, 90.00 degrees
Space group I-42d (No. 122)
One atom of each set of equivalent atoms:
Si 0.000 0.000 0.000 x4
Tc 0.000 0.000 0.500 x4
H 0.233 0.250 0.625 x8

D(E_F) ... 9.044 states/eV/cell
Offset from the most stable computed form ... 0.0000 eV/atom

***

(2)
# RbCdHg2

Crystalline RbCdHg2 at its relaxed geometry (GGA-PBE, Alexandria).

Cell lengths 4.040, 4.040, 7.970 Å; angles 90.00, 90.00, 90.00 degrees
Space group P4/mmm (No. 123)
One atom of each set of equivalent atoms:
Rb 0.000 0.000 0.000 x1
Cd 0.000 0.000 0.500 x1
Hg 0.500 0.500 0.301 x2

ΔE_f ... -0.13 eV per atom
D(E_F) ... 1.947 states/eV/cell

***

(3)
# NaNbGaO2

Crystalline NaNbGaO2 at its relaxed geometry (GGA-PBE, Alexandria).

Cell lengths 4.005, 4.005, 5.611 Å; angles 90.00, 90.00, 90.00 degrees
Space group P4/mmm (No. 123)
One atom of each set of equivalent atoms:
Na 0.000 0.000 0.000 x1
Nb 0.500 0.500 0.500 x1
Ga 0.500 0.500 0.000 x1
O 0.000 0.500 0.500 x2

D(E_F) ... 3.832 states/eV/cell
Raw total energy ... -29.838 eV per formula unit

***

> Look up the D(E_F) of the second one.

1.947 states/eV/cell

***

> Which of these has the highest D(E_F)?

SiTcH2

***

> Among the records above, which one has the lowest D(E_F)?

RbCdHg2